Density functional theory data (PBE-GGA) for crystalline KCd2SnAu at its relaxed geometry.

Lattice parameters (Å, degrees): 5.397 5.397 5.432 90.00 90.00 90.00
Fractional positions:
K 0.000 0.000 0.000
Cd 0.000 0.500 0.500
Cd 0.500 0.000 0.500
Sn 0.500 0.500 0.000
Au 0.500 0.500 0.500

Computed properties:
N(E_F), states/eV/atom: 0.424
E_tot, hartree per atom: -0.076
Formation enthalpy at 0 K, eV per atom: -0.03
Calculated density, g/cm³: 6.1